Record 1
ZrNb2Os (GGA-PBE, optimized geometry); energy of formation = -190 meV per atom; V = 144.0 Å³/cell; offset from the most stable computed form = 0 meV/atom; crystal system = tetragonal; space-group type = I4/mmm (139); total magnetic moment = 0.0 Bohr magnetons per cell
1.0
-2.312 2.312 6.736
2.312 -2.312 6.736
2.312 2.312 -6.736
Zr Nb Os
2 4 2
Direct
0.132 0.132 0.000
0.868 0.868 0.000
0.000 0.500 0.500
0.372 0.372 0.000
0.500 0.000 0.500
0.628 0.628 0.000
0.250 0.750 0.500
0.750 0.250 0.500

Record 2
Zr6NbOs5 (GGA-PBE, optimized geometry); energy of formation = -404 meV per atom; V = 216.9 Å³/cell; crystal system = orthorhombic; space-group type = Cmmm (65); total magnetic moment = 0.0 Bohr magnetons per cell
1.0
2.338 -7.021 0.000
2.338 7.021 0.000
0.000 0.000 6.608
Zr Nb Os
6 1 5
Direct
0.000 0.000 0.246
0.000 0.000 0.754
0.332 0.668 0.249
0.332 0.668 0.751
0.668 0.332 0.249
0.668 0.332 0.751
0.500 0.500 0.500
0.165 0.835 0.500
0.168 0.832 0.000
0.500 0.500 0.000
0.832 0.168 0.000
0.835 0.165 0.500